# 1
4
Lattice="4.496 -1.570 1.564 1.164 0.187 4.872 0.393 -4.238 2.647" Properties=species:S:1:pos:R:3 comment="LaBeHgAu, optimized geometry, DFT PBE" final_energy_ev_per_fu=-12.83 pbc="T T T"
Hg 1.513 -1.405 2.271
La 3.027 -2.811 4.542
Be 0.000 0.000 0.000
Au 4.540 -4.216 6.812


# 2
4
Lattice="2.227 -3.805 1.396 -1.765 -4.176 -0.908 2.047 -2.750 -3.103" Properties=species:S:1:pos:R:3 comment="ScBeHgAu, optimized geometry, DFT PBE" final_energy_ev_per_fu=-14.54 pbc="T T T"
Be 1.254 -5.366 -1.308
Hg 0.627 -2.683 -0.654
Sc 0.000 0.000 0.000
Au 1.881 -8.048 -1.961